Here is a relaxed structure of Ca2MgWO6 from Alexandria. Energies are from PBE+U.

Cell: 5.6369 5.4736 9.5255 Å, 55.15 90.00 90.00°
Fractional coordinates of all 20 atoms:
O: 0.6955 0.8326 0.4549
O: 0.3045 0.1674 0.5451
O: 0.0306 0.3519 0.2408
O: 0.2843 0.7439 0.9482
O: 0.2157 0.7439 0.4482
O: 0.7157 0.2561 0.0518
O: 0.7843 0.2561 0.5518
O: 0.4694 0.3519 0.7408
O: 0.9694 0.6481 0.7592
O: 0.8045 0.8326 0.9549
O: 0.5306 0.6481 0.2592
O: 0.1955 0.1674 0.0451
Ca: 0.9490 0.7655 0.2471
Ca: 0.4490 0.2345 0.2529
Ca: 0.0510 0.2345 0.7529
Ca: 0.5510 0.7655 0.7471
W: 0.5000 0.5000 0.5000
W: 0.0000 0.5000 0.0000
Mg: 0.0000 0.0000 0.5000
Mg: 0.5000 0.0000 0.0000

Properties
SG   No. 14
Total energy   -6.964 eV per atom